## BaPAu2 (GGA-PBEsol)

Data for a geometry-optimized BaPAu2 structure.

Properties
Energy of formation ... -0.482 eV/atom
DFT total energy ... -4.430 eV/atom
Total moment ... 0.0 μB per cell

The structure in POSCAR format:
```
BaPAu2
1.0
-2.232 1.982 -3.076
2.045 -2.676 -3.208
-3.836 -3.530 0.509
Au P Ba
2 1 1
direct
0.000 0.500 0.251
0.000 0.500 0.749
0.500 0.500 0.000
0.500 0.000 0.500
```